(1)
8
Lattice="8.109 0.000 0.000 0.000 2.942 0.000 -0.609 0.000 4.549" Properties=species:S:1:pos:R:3 comment="ZnSi2Os (SCAN, single point on PBEsol structure)" m_tot_mub_per_fu=0.0 spacegroup="C2/m (12)" e_form_raw_ev_per_atom=0.017 e_tot_ev_per_atom=-26.340 pbc="T T T"
Zn 0.000 0.000 0.000
Zn 4.054 1.471 0.000
Si 1.479 0.000 3.315
Si 1.966 1.471 1.235
Si 5.534 1.471 3.315
Si 6.021 0.000 1.235
Os -0.305 1.471 2.275
Os 3.750 0.000 2.275



(2)
5
Lattice="4.442 0.000 0.000 0.000 4.442 0.000 0.000 0.000 4.442" Properties=species:S:1:pos:R:3 comment="Zn3SiOs (SCAN, single point on PBEsol structure)" m_tot_mub_per_fu=2.2 spacegroup="Pm-3m (221)" e_form_raw_ev_per_atom=1.393 e_tot_ev_per_atom=-23.095 pbc="T T T"
Zn 0.000 0.000 2.221
Zn 0.000 2.221 0.000
Zn 2.221 0.000 0.000
Si 0.000 0.000 0.000
Os 2.221 2.221 2.221



(3)
12
Lattice="2.781 0.000 0.000 -1.391 2.409 0.000 0.000 0.000 24.284" Properties=species:S:1:pos:R:3 comment="ZnSiOs2 (SCAN, single point on PBEsol structure)" m_tot_mub_per_fu=0.0 spacegroup="R-3m (166)" e_form_raw_ev_per_atom=-0.001 e_tot_ev_per_atom=-41.824 pbc="T T T"
Zn 0.000 0.000 0.000
Zn 0.000 1.606 16.189
Zn 1.391 0.803 8.095
Si 0.000 0.000 12.142
Si 0.000 1.606 4.047
Si 1.391 0.803 20.237
Os 0.000 0.000 5.913
Os 0.000 0.000 18.371
Os 0.000 1.606 10.276
Os 0.000 1.606 22.103
Os 1.391 0.803 2.182
Os 1.391 0.803 14.008